Entry 1:
The following is a GGA-PBE calculation of a relaxed structure of Ce2Te2I, from the Alexandria database.

abc: 9.5520 9.5520 8.4821
angles: 90.00 90.00 154.05
Closest atoms and distances in Å follow each position.
Element x y z (fractional)
Ce 0.0499 0.9501 0.5000  6 Te 3.22-3.23, 1 I 3.49
Ce 0.2944 0.7056 0.3548  4 Te 3.21-3.28, 2 I 3.32
Ce 0.7056 0.2944 0.8548  4 Te 3.21-3.28, 2 I 3.32
Ce 0.9501 0.0499 0.0000  6 Te 3.22-3.23, 1 I 3.49
Te 0.3209 0.6791 0.9797  5 Ce 3.21-3.23
Te 0.4672 0.5329 0.2812  5 Ce 3.22-3.28
Te 0.5329 0.4672 0.7812  5 Ce 3.22-3.28
Te 0.6791 0.3209 0.4797  5 Ce 3.21-3.23
I 0.1314 0.8686 0.1052  5 Ce 3.32-3.70, 1 Te 3.69
I 0.8686 0.1314 0.6052  5 Ce 3.32-3.70, 1 Te 3.69

Total energy (eV per atom): -5.21
Formation energy from raw total energies (eV/f.u.): -6.36
Symmetry: Cmc2_1


Entry 2:
The following is a GGA-PBE calculation of a relaxed structure of ZrNb3Sn, from the Alexandria database.

abc: 5.0298 5.0298 5.0298
angles: 90.00 90.00 90.00
Closest atoms and distances in Å follow each position.
Element x y z (fractional)
Zr 0.0000 0.0000 0.0000  12 Nb 3.56
Nb 0.0000 0.5000 0.5000  2 Sn 2.51
Nb 0.5000 0.0000 0.5000  2 Sn 2.51
Nb 0.5000 0.5000 0.0000  2 Sn 2.51
Sn 0.5000 0.5000 0.5000  6 Nb 2.51

Energy of formation from the pure elements (eV per atom): 1.41
Total energy (eV per atom): -7.15
E above lowest polymorph (eV per atom): 0.0059
Symmetry: Pm-3m


Entry 3:
The following is a GGA-PBE calculation of a relaxed structure of Li5TlHg2Pb2, from the Alexandria database.

abc: 10.9111 10.9111 3.6966
angles: 90.00 90.00 90.00
Closest atoms and distances in Å follow each position.
Element x y z (fractional)
Li 0.0000 0.5000 0.0000  4 Hg 2.68
Li 0.0631 0.2008 0.0000  2 Hg 2.73, 2 Tl 2.95
Li 0.2008 0.9369 0.0000  2 Hg 2.73, 2 Tl 2.95
Li 0.2992 0.4369 0.0000  2 Hg 2.73, 2 Tl 2.95
Li 0.4369 0.7008 0.0000  2 Hg 2.73, 2 Tl 2.95
Li 0.5000 0.0000 0.0000  4 Hg 2.68
Li 0.5631 0.2992 0.0000  2 Hg 2.73, 2 Tl 2.95
Li 0.7008 0.5631 0.0000  2 Hg 2.73, 2 Tl 2.95
Li 0.7992 0.0631 0.0000  2 Hg 2.73, 2 Tl 2.95
Li 0.9369 0.7992 0.0000  2 Hg 2.73, 2 Tl 2.95
Tl 0.0000 0.0000 0.5000  8 Li 2.95
Tl 0.5000 0.5000 0.5000  8 Li 2.95
Hg 0.1262 0.3738 0.5000  6 Li 2.68-2.73
Hg 0.3738 0.8738 0.5000  6 Li 2.68-2.73
Hg 0.6262 0.1262 0.5000  6 Li 2.68-2.73
Hg 0.8738 0.6262 0.5000  6 Li 2.68-2.73
Pb 0.1716 0.6716 0.5000  3 Hg 3.12-3.29, 10 Li 3.23-3.45
Pb 0.3284 0.1716 0.5000  3 Hg 3.12-3.29, 10 Li 3.23-3.45
Pb 0.6716 0.8284 0.5000  3 Hg 3.12-3.29, 10 Li 3.23-3.45
Pb 0.8284 0.3284 0.5000  3 Hg 3.12-3.29, 10 Li 3.23-3.45

Energy of formation from the pure elements (eV per atom): -0.21
Total energy (eV per atom): -2.21
Symmetry: P4/mbm


Entry 4:
The following is a GGA-PBE calculation of a relaxed structure of TbPm7Sn4, from the Alexandria database.

abc: 7.6695 7.6695 11.1071
angles: 121.92 121.92 44.79
Closest atoms and distances in Å follow each position.
Element x y z (fractional)
Tb 0.0000 0.0000 0.0000  2 Pm 2.92
Pm 0.0588 0.0588 0.3723  3 Sn 3.15-3.30, 2 Pm 3.20-3.52
Pm 0.2093 0.2093 0.8875  4 Pm 3.20-3.58, 4 Sn 3.32-3.38
Pm 0.3132 0.3132 0.3858  4 Sn 3.03-3.27
Pm 0.5000 0.5000 0.0000  2 Tb 2.92, 4 Sn 3.07-3.22
Pm 0.6868 0.6868 0.6142  4 Sn 3.03-3.27
Pm 0.7907 0.7907 0.1125  4 Pm 3.20-3.58, 4 Sn 3.32-3.38
Pm 0.9412 0.9412 0.6277  3 Sn 3.15-3.30, 2 Pm 3.20-3.52
Sn 0.3029 0.3029 0.6726  6 Pm 3.07-3.33, 1 Sn 3.23
Sn 0.4359 0.4359 0.2351  7 Pm 3.03-3.38, 1 Sn 3.23
Sn 0.5641 0.5641 0.7649  7 Pm 3.03-3.38, 1 Sn 3.23
Sn 0.6971 0.6971 0.3274  6 Pm 3.07-3.33, 1 Sn 3.23

Energy of formation from the pure elements (eV per atom): -0.30
Total energy (eV per atom): -4.79
Symmetry: C2/m


Entry 5:
The following is a GGA-PBE calculation of a relaxed structure of Tb2Tm3Ga2, from the Alexandria database.

abc: 6.6575 6.6575 8.7493
angles: 113.51 113.51 32.52
Closest atoms and distances in Å follow each position.
Element x y z (fractional)
Tb 0.1441 0.1441 0.3079  2 Ga 3.01
Tb 0.8559 0.8559 0.6921  2 Ga 3.01
Tm 0.3868 0.3868 0.0589  3 Ga 3.04-3.05
Tm 0.5000 0.5000 0.5000  4 Ga 2.97
Tm 0.6132 0.6132 0.9411  3 Ga 3.04-3.05
Ga 0.1800 0.1800 0.7201  5 Tm 2.97-3.05, 2 Tb 3.01
Ga 0.8200 0.8200 0.2799  5 Tm 2.97-3.05, 2 Tb 3.01

Energy of formation from the pure elements (eV per atom): -0.33
Total energy (eV per atom): -4.43
Symmetry: C2/m


Entry 6:
The following is a GGA-PBE calculation of a relaxed structure of Zn2InAu, from the Alexandria database.

abc: 4.2249 4.2249 4.0932
angles: 90.00 90.00 90.00
Closest atoms and distances in Å follow each position.
Element x y z (fractional)
Zn 0.0000 0.5000 0.0000  4 In 2.94, 4 Au 2.94, 4 Zn 2.99
Zn 0.5000 0.0000 0.0000  4 In 2.94, 4 Au 2.94, 4 Zn 2.99
In 0.0000 0.0000 0.5000  8 Zn 2.94, 4 Au 2.99
Au 0.5000 0.5000 0.5000  8 Zn 2.94, 4 In 2.99

Energy of formation from the pure elements (eV per atom): -0.01
Total energy (eV per atom): -2.15
Symmetry: P4/mmm